<1>
# SrLaVO4 GGA+U relaxed
# Spin magnetization (μB/f.u.): 2.0
# DOS at the Fermi energy (states/eV per atom): 0.000
data_SrLaVO4
_chemical_formula_sum 'Sr4 La4 V4 O16'
_symmetry_space_group_name_H-M 'A e m 2'
_symmetry_Int_Tables_number 39
_cell_length_a 5.688
_cell_length_b 5.545
_cell_length_c 12.528
_cell_angle_alpha 90.00
_cell_angle_beta 90.00
_cell_angle_gamma 90.00
loop_
_symmetry_equiv_pos_as_xyz
'x,y,z'
'-x,-y,z'
'-x,y+1/2,z'
'x,-y+1/2,z'
'x,y+1/2,z+1/2'
'-x,-y+1/2,z+1/2'
'-x,y,z+1/2'
'x,-y,z+1/2'
loop_
_atom_site_label
_atom_site_type_symbol
_atom_site_fract_x
_atom_site_fract_y
_atom_site_fract_z
Sr1 Sr 0.238 0.250 0.000
La1 La 0.269 0.250 0.714
V1 V 0.251 0.250 0.359
O1 O 0.000 0.000 0.337
O2 O 0.212 0.250 0.530
O3 O 0.308 0.250 0.191
O4 O 0.500 0.000 0.367


<2>
# SrLaVO4 GGA+U relaxed
# Spin magnetization (μB/f.u.): 2.0
# DOS at the Fermi energy (states/eV per atom): 0.063
data_SrLaVO4
_chemical_formula_sum 'Sr2 La2 V2 O8'
_symmetry_space_group_name_H-M 'I 4 m m'
_symmetry_Int_Tables_number 107
_symmetry_space_group_name_Hall 'I 4 -2'
_cell_length_a 3.933
_cell_length_b 3.933
_cell_length_c 12.702
_cell_angle_alpha 90.00
_cell_angle_beta 90.00
_cell_angle_gamma 90.00
loop_
_atom_site_label
_atom_site_type_symbol
_atom_site_fract_x
_atom_site_fract_y
_atom_site_fract_z
Sr1 Sr 0.000 0.000 0.000
La1 La 0.000 0.000 0.712
V1 V 0.000 0.000 0.359
O1 O 0.000 0.000 0.190
O2 O 0.000 0.000 0.530
O3 O 0.000 0.500 0.350


Which is most stable, and by how much? <1>, by 0.017 eV/atom.